Compound: SrZnIr2
Source: Alexandria
Functional: GGA-PBE
Structure: optimized geometry

POSCAR file:
```
SrZnIr2
1.0
4.163 0.000 0.000
0.000 4.163 0.000
0.000 0.000 4.191
Sr Zn Ir
1 1 2
direct
0.000 0.000 0.000
0.500 0.500 0.000
0.000 0.500 0.500
0.500 0.000 0.500
```

As for the crystal system: tetragonal. The calculation puts the energy of formation from the pure elements at 107 kJ/mol of formula units. Its space group is P4/mmm, No. 123. As for the density of states at the Fermi level: 3.6 states/eV/f.u. The calculation puts the density at 12.28 g cm⁻³. Its volume is 18.2 Å³/atom.


Compound: SrZnIr2
Source: Alexandria
Functional: GGA-PBE
Structure: optimized geometry

POSCAR file:
```
SrZnIr2
1.0
2.954 -4.170 0.000
2.954 4.170 0.000
0.000 0.000 2.943
Sr Zn Ir
1 1 2
direct
0.000 0.000 0.000
0.500 0.500 0.000
0.000 0.500 0.500
0.500 0.000 0.500
```

As for the crystal system: orthorhombic. The calculation puts the energy of formation from the pure elements at 136 kJ/mol of formula units. Its space group is Cmmm, No. 65. As for the density of states at the Fermi level: 3.6 states/eV/f.u. The calculation puts the density at 12.31 g cm⁻³. Its volume is 18.1 Å³/atom.


Compound: SrZn3Ir
Source: Alexandria
Functional: GGA-PBE
Structure: optimized geometry

POSCAR file:
```
SrZn3Ir
1.0
8.802 0.000 0.000
0.000 5.760 0.000
-2.210 0.000 7.810
Sr Zn Ir
4 12 4
direct
0.214 0.104 0.097
0.214 0.396 0.597
0.786 0.604 0.403
0.786 0.896 0.903
0.048 0.607 0.179
0.048 0.893 0.679
0.355 0.594 0.271
0.355 0.906 0.771
0.488 0.208 0.442
0.488 0.292 0.942
0.512 0.708 0.058
0.512 0.792 0.558
0.645 0.094 0.229
0.645 0.406 0.729
0.952 0.107 0.321
0.952 0.393 0.821
0.209 0.625 0.938
0.209 0.875 0.438
0.791 0.125 0.562
0.791 0.375 0.062
```

As for the crystal system: monoclinic. The calculation puts the energy of formation from the pure elements at -114 kJ/mol of formula units. Its space group is P2_1/c, No. 14. As for the density of states at the Fermi level: 2.7 states/eV/f.u. The calculation puts the density at 7.99 g cm⁻³. The distance to the lowest polymorph of the same formula comes out at 0.099 eV per atom. Its volume is 19.8 Å³/atom.


Compound: SrZn3Ir
Source: Alexandria
Functional: GGA-PBE
Structure: optimized geometry

POSCAR file:
```
SrZn3Ir
1.0
5.766 -3.336 0.000
5.766 3.336 0.000
-3.835 0.000 5.777
Sr Zn Ir
2 6 2
direct
0.207 0.207 0.122
0.793 0.793 0.878
0.252 0.252 0.684
0.252 0.680 0.684
0.320 0.748 0.316
0.680 0.252 0.684
0.748 0.320 0.316
0.748 0.748 0.316
0.000 0.000 0.500
0.500 0.500 0.000
```

As for the crystal system: monoclinic. The calculation puts the energy of formation from the pure elements at -154 kJ/mol of formula units. Its space group is C2/m, No. 12. As for the density of states at the Fermi level: 1.8 states/eV/f.u. The calculation puts the density at 7.11 g cm⁻³. The distance to the lowest polymorph of the same formula comes out at 0.017 eV per atom. Its volume is 22.2 Å³/atom.


Compound: Sr2Zn4Ir
Source: Alexandria
Functional: GGA-PBE
Structure: optimized geometry

POSCAR file:
```
Sr2Zn4Ir
1.0
-2.429 2.429 7.990
2.429 -2.429 7.990
2.429 2.429 -7.990
Sr Zn Ir
2 4 1
direct
0.142 0.142 0.000
0.858 0.858 0.000
0.000 0.500 0.500
0.346 0.346 0.000
0.500 0.000 0.500
0.654 0.654 0.000
0.500 0.500 0.000
```

As for the crystal system: tetragonal. The calculation puts the energy of formation from the pure elements at -121 kJ/mol of formula units. Its space group is I4/mmm, No. 139. As for the density of states at the Fermi level: 4.0 states/eV/f.u. The calculation puts the density at 5.54 g cm⁻³. Its volume is 26.9 Å³/atom.


Compound: Sr3Zn2Ir
Source: Alexandria
Functional: GGA-PBE
Structure: optimized geometry

POSCAR file:
```
Sr3Zn2Ir
1.0
12.739 0.000 0.000
0.000 4.408 0.000
0.000 0.000 13.044
Sr Zn Ir
12 8 4
direct
0.061 0.250 0.128
0.111 0.750 0.549
0.218 0.250 0.792
0.282 0.750 0.292
0.389 0.250 0.049
0.439 0.750 0.628
0.561 0.250 0.372
0.611 0.750 0.951
0.718 0.250 0.708
0.782 0.750 0.208
0.889 0.250 0.451
0.939 0.750 0.872
0.035 0.750 0.315
0.208 0.750 0.980
0.292 0.250 0.480
0.465 0.250 0.815
0.535 0.750 0.185
0.708 0.750 0.520
0.792 0.250 0.020
0.965 0.250 0.685
0.126 0.250 0.367
0.374 0.750 0.867
0.626 0.250 0.133
0.874 0.750 0.633
```

As for the crystal system: orthorhombic. The calculation puts the energy of formation from the pure elements at -170 kJ/mol of formula units. Its space group is Pnma, No. 62. As for the density of states at the Fermi level: 3.3 states/eV/f.u. The calculation puts the density at 5.31 g cm⁻³. Its volume is 30.5 Å³/atom.


Compound: Sr3Zn4Ir2
Source: Alexandria
Functional: GGA-PBE
Structure: optimized geometry

POSCAR file:
```
Sr3Zn4Ir2
1.0
4.386 0.000 0.000
-2.193 3.798 0.000
0.000 0.000 26.494
Sr Zn Ir
6 8 4
direct
0.000 0.000 0.079
0.000 0.000 0.257
0.000 0.000 0.411
0.000 0.000 0.589
0.000 0.000 0.743
0.000 0.000 0.921
0.333 0.667 0.170
0.333 0.667 0.334
0.333 0.667 0.500
0.333 0.667 0.666
0.333 0.667 0.830
0.667 0.333 0.170
0.667 0.333 0.500
0.667 0.333 0.830
0.333 0.667 0.000
0.667 0.333 0.000
0.667 0.333 0.334
0.667 0.333 0.666
```

As for the crystal system: hexagonal. The calculation puts the energy of formation from the pure elements at -214 kJ/mol of formula units. Its space group is P-6m2, No. 187. As for the density of states at the Fermi level: 3.8 states/eV/f.u. The calculation puts the density at 6.84 g cm⁻³. The distance to the lowest polymorph of the same formula comes out at 0.009 eV per atom. Its volume is 24.5 Å³/atom.


Compound: SrZnIr2
Source: Alexandria
Functional: GGA-PBE
Structure: optimized geometry

POSCAR file:
```
SrZnIr2
1.0
0.000 3.314 3.314
3.314 0.000 3.314
3.314 3.314 0.000
Sr Zn Ir
1 1 2
direct
0.000 0.000 0.000
0.500 0.500 0.500
0.250 0.250 0.250
0.750 0.750 0.750
```

As for the crystal system: cubic. The calculation puts the energy of formation from the pure elements at 152 kJ/mol of formula units. Its space group is Fm-3m, No. 225. As for the density of states at the Fermi level: 2.2 states/eV/f.u. The calculation puts the density at 12.27 g cm⁻³. Its volume is 18.2 Å³/atom.


Compound: SrZn3Ir
Source: Alexandria
Functional: GGA-PBE
Structure: optimized geometry

POSCAR file:
```
SrZn3Ir
1.0
2.427 -10.009 0.000
2.427 10.009 0.000
0.000 0.000 4.747
Sr Zn Ir
2 6 2
direct
0.109 0.891 0.750
0.891 0.109 0.250
0.029 0.466 0.750
0.466 0.029 0.250
0.500 0.500 0.000
0.500 0.500 0.500
0.534 0.971 0.750
0.971 0.534 0.250
0.392 0.608 0.750
0.608 0.392 0.250
```

As for the crystal system: orthorhombic. The calculation puts the energy of formation from the pure elements at -9 kJ/mol of formula units. Its space group is Cmcm, No. 63. As for the density of states at the Fermi level: 2.1 states/eV/f.u. The calculation puts the density at 6.86 g cm⁻³. The distance to the lowest polymorph of the same formula comes out at 0.318 eV per atom. Its volume is 23.1 Å³/atom.


Compound: Sr3ZnIr
Source: Alexandria
Functional: GGA-PBE
Structure: optimized geometry

POSCAR file:
```
Sr3ZnIr
1.0
7.121 0.000 0.000
0.000 4.565 0.000
-0.008 0.000 9.972
Sr Zn Ir
6 2 2
direct
0.206 0.250 0.058
0.207 0.250 0.442
0.252 0.750 0.750
0.748 0.250 0.250
0.793 0.750 0.558
0.794 0.750 0.942
0.400 0.750 0.250
0.600 0.250 0.750
0.048 0.750 0.250
0.952 0.250 0.750
```

As for the crystal system: monoclinic. The calculation puts the energy of formation from the pure elements at -101 kJ/mol of formula units. Its space group is P2_1/m, No. 11. As for the density of states at the Fermi level: 2.8 states/eV/f.u. The calculation puts the density at 5.33 g cm⁻³. The distance to the lowest polymorph of the same formula comes out at 0.000 eV per atom. Its volume is 32.4 Å³/atom.


Compound: SrZn3Ir
Source: Alexandria
Functional: GGA-PBE
Structure: optimized geometry

POSCAR file:
```
SrZn3Ir
1.0
-2.692 2.692 8.408
2.692 -2.692 8.408
2.692 2.692 -8.408
Sr Zn Ir
2 6 2
direct
0.175 0.175 0.000
0.825 0.825 0.000
0.015 0.515 0.500
0.135 0.373 0.762
0.485 0.985 0.500
0.611 0.373 0.238
0.627 0.389 0.762
0.627 0.865 0.238
0.500 0.500 0.000
0.750 0.250 0.500
```

As for the crystal system: tetragonal. The calculation puts the energy of formation from the pure elements at -81 kJ/mol of formula units. Its space group is I-4m2, No. 119. As for the density of states at the Fermi level: 1.3 states/eV/f.u. The calculation puts the density at 6.49 g cm⁻³. The distance to the lowest polymorph of the same formula comes out at 0.167 eV per atom. Its volume is 24.4 Å³/atom.


Compound: SrZnIr2
Source: Alexandria
Functional: GGA-PBE
Structure: optimized geometry

POSCAR file:
```
SrZnIr2
1.0
4.535 -1.511 0.000
4.535 1.511 0.000
-1.218 0.000 5.680
Sr Zn Ir
1 1 2
direct
0.000 0.000 0.000
0.500 0.500 0.500
0.232 0.232 0.674
0.768 0.768 0.326
```

As for the crystal system: monoclinic. The calculation puts the energy of formation from the pure elements at 42 kJ/mol of formula units. Its space group is C2/m, No. 12. As for the density of states at the Fermi level: 2.3 states/eV/f.u. The calculation puts the density at 11.47 g cm⁻³. Its volume is 19.5 Å³/atom.


Compound: SrZnIr2
Source: Alexandria
Functional: GGA-PBE
Structure: optimized geometry

POSCAR file:
```
SrZnIr2
1.0
-1.482 2.484 5.175
1.482 -2.484 5.175
1.482 2.484 -5.175
Sr Zn Ir
1 1 2
direct
0.000 0.000 0.000
0.708 0.208 0.500
0.285 0.785 0.500
0.493 0.493 0.000
```

As for the crystal system: orthorhombic. The calculation puts the energy of formation from the pure elements at 70 kJ/mol of formula units. Its space group is Imm2, No. 44. As for the density of states at the Fermi level: 3.7 states/eV/f.u. The calculation puts the density at 11.72 g cm⁻³. Its volume is 19.0 Å³/atom.


Compound: Sr2Zn3Ir
Source: Alexandria
Functional: GGA-PBE
Structure: optimized geometry

POSCAR file:
```
Sr2Zn3Ir
1.0
-2.337 2.688 5.782
2.337 -2.688 5.782
2.337 2.688 -5.782
Sr Zn Ir
2 3 1
direct
0.213 0.213 0.000
0.787 0.787 0.000
0.000 0.500 0.500
0.398 0.898 0.500
0.602 0.102 0.500
0.500 0.500 0.000
```

As for the crystal system: orthorhombic. The calculation puts the energy of formation from the pure elements at -49 kJ/mol of formula units. Its space group is Immm, No. 71. As for the density of states at the Fermi level: 3.3 states/eV/f.u. The calculation puts the density at 6.44 g cm⁻³. The distance to the lowest polymorph of the same formula comes out at 0.160 eV per atom. Its volume is 24.2 Å³/atom.


Compound: SrZnIr2
Source: Alexandria
Functional: GGA-PBE
Structure: optimized geometry

POSCAR file:
```
SrZnIr2
1.0
2.885 0.000 0.000
0.000 3.963 0.000
0.000 0.000 6.594
Sr Zn Ir
1 1 2
direct
0.000 0.000 0.000
0.000 0.000 0.500
0.500 0.500 0.310
0.500 0.500 0.690
```

As for the crystal system: orthorhombic. The calculation puts the energy of formation from the pure elements at 63 kJ/mol of formula units. Its space group is Pmmm, No. 47. As for the density of states at the Fermi level: 3.7 states/eV/f.u. The calculation puts the density at 11.84 g cm⁻³. Its volume is 18.9 Å³/atom.


Compound: SrZn3Ir
Source: Alexandria
Functional: GGA-PBE
Structure: optimized geometry

POSCAR file:
```
SrZn3Ir
1.0
6.487 0.000 0.000
0.000 6.487 0.000
0.000 0.000 5.081
Sr Zn Ir
2 6 2
direct
0.250 0.750 0.000
0.750 0.250 0.000
0.000 0.000 0.500
0.000 0.500 0.500
0.250 0.250 0.176
0.500 0.000 0.500
0.500 0.500 0.500
0.750 0.750 0.824
0.250 0.250 0.688
0.750 0.750 0.312
```

As for the crystal system: tetragonal. The calculation puts the energy of formation from the pure elements at -162 kJ/mol of formula units. Its space group is P4/nmm, No. 129. As for the density of states at the Fermi level: 2.5 states/eV/f.u. The calculation puts the density at 7.39 g cm⁻³. The distance to the lowest polymorph of the same formula comes out at 0.000 eV per atom. Its volume is 21.4 Å³/atom.


Compound: SrZn6Ir2
Source: Alexandria
Functional: GGA-PBE
Structure: optimized geometry

POSCAR file:
```
SrZn6Ir2
1.0
-2.148 3.243 5.812
2.148 -3.243 5.812
2.148 3.243 -5.812
Sr Zn Ir
1 6 2
direct
0.000 0.000 0.000
0.082 0.291 0.791
0.321 0.500 0.821
0.499 0.709 0.791
0.501 0.291 0.209
0.679 0.500 0.179
0.918 0.709 0.209
0.379 0.879 0.500
0.621 0.121 0.500
```

As for the crystal system: orthorhombic. The calculation puts the energy of formation from the pure elements at -91 kJ/mol of formula units. Its space group is Immm, No. 71. As for the density of states at the Fermi level: 6.6 states/eV/f.u. The calculation puts the density at 8.87 g cm⁻³. Its volume is 18.0 Å³/atom.


Compound: Sr2Zn7Ir
Source: Alexandria
Functional: GGA-PBE
Structure: optimized geometry

POSCAR file:
```
Sr2Zn7Ir
1.0
4.216 0.000 0.000
0.000 4.216 0.000
0.000 0.000 11.331
Sr Zn Ir
2 7 1
direct
0.000 0.500 0.244
0.500 0.000 0.756
0.000 0.000 0.000
0.000 0.000 0.500
0.000 0.500 0.638
0.000 0.500 0.871
0.500 0.000 0.129
0.500 0.000 0.362
0.500 0.500 0.500
0.500 0.500 0.000
```

As for the crystal system: tetragonal. The calculation puts the energy of formation from the pure elements at -204 kJ/mol of formula units. Its space group is P-4m2, No. 115. As for the density of states at the Fermi level: 6.0 states/eV/f.u. The calculation puts the density at 6.80 g cm⁻³. Its volume is 20.1 Å³/atom.


Compound: Sr2ZnIr
Source: Alexandria
Functional: GGA-PBE
Structure: optimized geometry

POSCAR file:
```
Sr2ZnIr
1.0
3.705 -3.710 0.000
3.705 3.710 0.000
0.000 0.000 3.745
Sr Zn Ir
2 1 1
direct
0.000 0.500 0.000
0.500 0.000 0.000
0.000 0.000 0.500
0.500 0.500 0.500
```

As for the crystal system: orthorhombic. The calculation puts the energy of formation from the pure elements at -11 kJ/mol of formula units. Its space group is Cmmm, No. 65. As for the density of states at the Fermi level: 2.1 states/eV/f.u. The calculation puts the density at 6.98 g cm⁻³. Its volume is 25.7 Å³/atom.


Compound: SrZn8Ir2
Source: Alexandria
Functional: GGA-PBE
Structure: optimized geometry

POSCAR file:
```
SrZn8Ir2
1.0
5.799 0.000 0.000
0.000 5.799 0.000
0.000 0.000 8.237
Sr Zn Ir
1 8 2
direct
0.000 0.000 0.000
0.252 0.252 0.323
0.252 0.252 0.677
0.252 0.748 0.323
0.252 0.748 0.677
0.748 0.252 0.323
0.748 0.252 0.677
0.748 0.748 0.323
0.748 0.748 0.677
0.000 0.500 0.500
0.500 0.000 0.500
```

As for the crystal system: tetragonal. The calculation puts the energy of formation from the pure elements at 135 kJ/mol of formula units. Its space group is P4/mmm, No. 123. As for the density of states at the Fermi level: 3.9 states/eV/f.u. The calculation puts the density at 5.97 g cm⁻³. Its volume is 25.2 Å³/atom.